[1]
VASP calculation (GGA-PBE) on a relaxed structure of GdHoScGa.

abc: 5.209 5.209 5.209
angles: 60.00 60.00 60.00
Last column: magnetic moment on the atom in μB.
Element x y z (fractional)
Ga1 0.250 0.250 0.250  -0.02
Sc1 0.750 0.750 0.750  0.34
Ho1 0.000 0.000 0.000  0.18
Gd1 0.500 0.500 0.500  7.23

Results
- Energy of formation from the pure elements: -0.152 eV/atom
- Total magnetization: 2.038 μB/atom

***

[2]
VASP calculation (GGA-PBE) on a relaxed structure of Ca2PuTiN4.

abc: 3.352 5.685 5.858
angles: 108.11 90.00 90.00
Last column: magnetic moment on the atom in μB.
Element x y z (fractional)
N1 0.500 0.768 0.791  -0.10
Ca1 0.500 0.000 0.500  0.02
N2 0.000 0.754 0.210  -0.13
Pu1 0.500 0.500 0.000  3.94
Ti1 0.000 0.000 0.000  0.27
Ca2 0.000 0.500 0.500  0.04
N3 0.000 0.246 0.790  -0.13
N4 0.500 0.232 0.209  -0.10

Results
- ΔE_f (raw): -10.0 eV/f.u.
- Total magnetization: 0.494 μB/atom

***

[3]
VASP calculation (GGA-PBE) on a relaxed structure of ScCd2As.

abc: 6.397 6.397 3.968
angles: 71.52 71.52 127.37
Element x y z (fractional)
Cd1 0.000 0.000 0.000
Cd2 0.500 0.500 0.000
As1 0.000 0.500 0.500
Sc1 0.500 0.000 0.500

Results
- Energy of formation from the pure elements: -0.390 eV/atom
- Total magnetization: 0.000 μB/atom

***

The records above give, respectively, energy values of -7.16 -8.69 -3.59 eV per atom.